# Rb2ErSb2S6

A relaxed Rb2ErSb2S6 crystal (PBE-GGA, the Alexandria database).

extended XYZ file:
```
11
Lattice="7.418 0.000 0.000 -3.709 6.042 -0.136 0.000 -3.602 7.848" Properties=species:S:1:pos:R:3 pbc="T T T"
Er 3.709 -1.801 3.924
Rb 0.000 0.640 6.504
Rb 3.709 1.800 1.209
S -1.769 4.573 1.698
S 3.709 0.838 4.347
S 0.000 1.602 3.365
S 1.769 4.573 1.698
S 1.940 -2.133 6.015
S 5.478 -2.133 6.015
Sb 0.000 -0.037 1.616
Sb 3.709 2.477 6.096
```

Computed properties:
The symmetry is No. 12. The calculation puts the final energy at -48.88 eV/cell. For the magnetic moment, the calculation gives 0.000 μB per formula unit.